5
Lattice="4.016 0.000 0.000 0.000 4.016 0.000 0.000 0.000 4.016" Properties=species:S:1:pos:R:3 comment="VGaB3, optimized geometry, DFT PBE" formation_enthalpy_0k_ev_per_atom=1.30 dft_energy_ev_per_atom=-5.133 spacegroup="Pm-3m (221)" pbc="T T T"
B 0.000 2.008 0.000
B 0.000 0.000 2.008
B 2.008 0.000 0.000
Ga 2.008 2.008 2.008
V 0.000 0.000 0.000